Arrangement 1

# PBE BeSbP2, optimized geometry
data_BeSbP2
_cell_length_a 6.279
_cell_length_b 3.677
_cell_length_c 6.226
_cell_angle_alpha 90.00
_cell_angle_beta 109.09
_cell_angle_gamma 90.00
_symmetry_space_group_name_H-M 'C 1 2/m 1'
_symmetry_Int_Tables_number 12
loop_
_symmetry_equiv_pos_as_xyz
'x,y,z'
'-x,-y,-z'
'-x,y,-z'
'x,-y,z'
'x+1/2,y+1/2,z'
'-x+1/2,-y+1/2,-z'
'-x+1/2,y+1/2,-z'
'x+1/2,-y+1/2,z'
loop_
_atom_site_label
_atom_site_type_symbol
_atom_site_fract_x
_atom_site_fract_y
_atom_site_fract_z
Be1 Be 0.000 0.000 0.000
Sb1 Sb 0.000 0.500 0.500
P1 P 0.238 0.500 0.197
# Total magnetic moment (μB per atom): 0.00
# Volume (A^3/atom): 17.0

Arrangement 2

# PBE BeSbP2, optimized geometry
data_BeSbP2
_cell_length_a 4.453
_cell_length_b 4.453
_cell_length_c 6.684
_cell_angle_alpha 90.00
_cell_angle_beta 90.00
_cell_angle_gamma 90.00
_symmetry_space_group_name_H-M 'I -4 m 2'
_symmetry_Int_Tables_number 119
_symmetry_space_group_name_Hall 'I -4 -2'
loop_
_atom_site_label
_atom_site_type_symbol
_atom_site_fract_x
_atom_site_fract_y
_atom_site_fract_z
Be1 Be 0.000 0.000 0.000
Sb1 Sb 0.000 0.500 0.250
P1 P 0.000 0.000 0.500
P2 P 0.000 0.500 0.750
# Total magnetic moment (μB per atom): 0.00
# Volume (A^3/atom): 16.6

arrangement 1 is the most stable structure shown above.